# 1
GeSbPCl2 SCAN PBEsol geometry; E_form (uncorrected) = 0.21 eV per atom; SG = No. 123
1.0
4.710 0.000 0.000
0.000 4.710 0.000
0.000 0.000 5.027
Ge Sb P Cl
1 1 1 2
direct
0.000 0.000 0.000 Ge
0.500 0.500 0.500 Sb
0.000 0.000 0.500 P
0.000 0.500 0.000 Cl
0.500 0.000 0.000 Cl

---

# 2
Te3Br SCAN PBEsol geometry; relative energy among the computed polymorphs = 0.0972 eV per atom; E_form (uncorrected) = 0.07 eV per atom; SG = No. 166
1.0
4.297 0.000 0.000
-2.149 3.722 0.000
0.000 0.000 23.231
Te Br
9 3
direct
0.000 0.000 0.000 Te
0.000 0.000 0.257 Te
0.000 0.000 0.743 Te
0.333 0.667 0.410 Te
0.333 0.667 0.667 Te
0.333 0.667 0.923 Te
0.667 0.333 0.077 Te
0.667 0.333 0.333 Te
0.667 0.333 0.590 Te
0.000 0.000 0.500 Br
0.333 0.667 0.167 Br
0.667 0.333 0.833 Br

---

# 3
Zr2MoBr SCAN PBEsol geometry; relative energy among the computed polymorphs = 0.0967 eV per atom; E_form (uncorrected) = -0.14 eV per atom; SG = No. 12
1.0
7.577 0.000 0.000
0.000 3.269 0.000
-3.768 0.000 7.556
Zr Mo Br
4 2 2
direct
0.188 0.000 0.312 Zr
0.312 0.500 0.688 Zr
0.688 0.500 0.312 Zr
0.812 0.000 0.688 Zr
0.000 0.000 0.500 Mo
0.500 0.500 0.500 Mo
0.000 0.500 0.000 Br
0.500 0.000 0.000 Br

---

# 4
KPbW SCAN PBEsol geometry; energy relative to the elements = 1.07 eV/atom; relative energy among the computed polymorphs = 0.0275 eV per atom; SG = No. 107
1.0
2.988 0.000 0.000
0.000 2.988 0.000
0.000 0.000 16.038
K Pb W
2 2 2
direct
0.000 0.000 0.000 K
0.500 0.500 0.500 K
0.000 0.000 0.687 Pb
0.500 0.500 0.187 Pb
0.000 0.000 0.322 W
0.500 0.500 0.822 W

---

# 5
Te2HPt SCAN PBEsol geometry; relative energy among the computed polymorphs = 0.0000 eV per atom; SG = No. 166
1.0
4.085 0.000 0.000
-2.043 3.538 0.000
0.000 0.000 19.930
Te H Pt
6 3 3
direct
0.000 0.000 0.100 Te
0.000 0.000 0.900 Te
0.333 0.667 0.567 Te
0.333 0.667 0.767 Te
0.667 0.333 0.233 Te
0.667 0.333 0.433 Te
0.000 0.000 0.000 H
0.333 0.667 0.667 H
0.667 0.333 0.333 H
0.000 0.000 0.500 Pt
0.333 0.667 0.167 Pt
0.667 0.333 0.833 Pt

---

# 6
Ca3YPt SCAN PBEsol geometry; energy relative to the elements = -0.33 eV/atom; SG = No. 221
1.0
5.503 0.000 0.000
0.000 5.503 0.000
0.000 0.000 5.503
Ca Y Pt
3 1 1
direct
0.000 0.000 0.500 Ca
0.000 0.500 0.000 Ca
0.500 0.000 0.000 Ca
0.500 0.500 0.500 Y
0.000 0.000 0.000 Pt

---

# 7
ZnFe2O4 SCAN PBEsol geometry; relative energy among the computed polymorphs = 0.0216 eV per atom; E_form (uncorrected) = -1.57 eV per atom; SG = No. 74
1.0
-2.844 2.907 4.214
2.844 -2.907 4.214
2.844 2.907 -4.214
Zn Fe O
2 4 8
direct
0.000 0.000 0.000 Zn
0.500 0.000 0.500 Zn
0.000 0.000 0.500 Fe
0.000 0.500 0.000 Fe
0.366 0.616 0.750 Fe
0.634 0.384 0.250 Fe
0.223 0.748 0.475 O
0.226 0.222 0.496 O
0.226 0.730 0.004 O
0.227 0.252 0.975 O
0.773 0.748 0.025 O
0.774 0.270 0.996 O
0.774 0.778 0.504 O
0.777 0.252 0.525 O

---

# 8
Ru5W SCAN PBEsol geometry; energy relative to the elements = -0.01 eV/atom; relative energy among the computed polymorphs = 0.0225 eV per atom; SG = No. 8
1.0
9.777 0.000 0.000
0.000 2.714 0.000
-1.507 0.000 6.190
Ru W
10 2
direct
0.000 0.000 0.000 Ru
0.055 0.000 0.615 Ru
0.164 0.500 0.335 Ru
0.219 0.500 0.944 Ru
0.333 0.000 0.671 Ru
0.500 0.500 0.000 Ru
0.555 0.500 0.615 Ru
0.664 0.000 0.335 Ru
0.719 0.000 0.944 Ru
0.833 0.500 0.671 Ru
0.387 0.000 0.282 W
0.887 0.500 0.282 W

---

Number 1: V 111.5 Å³ per cell. Number 2: V 371.5 Å³ per cell. Number 3: V 187.1 Å³ per cell. Number 4: V 143.2 Å³ per cell. Number 5: V 288.1 Å³ per cell. Number 6: V 166.6 Å³ per cell. Number 7: V 139.4 Å³ per cell. Number 8: V 164.3 Å³ per cell.